Run P
## PrSn4Rh2 (PBE-GGA)

Data for PrSn4Rh2 after structural relaxation.

Results
Its space group is P4_2/mnm. The value obtained for the density is 8.55 g/cm³. Its calculated volume is 22.78 A^3/atom. For the total magnetic moment, the calculation gives 0.000 μB per atom.

Cell lengths 3.914, 9.027, 9.027 Å; angles 90.00, 90.00, 90.00 degrees
Fractional positions:
Sn 0.500 0.429 0.806
Sn 0.000 0.694 0.929
Sn 0.000 0.071 0.306
Pr 0.000 0.500 0.500
Sn 0.500 0.194 0.571
Pr 0.500 0.000 0.000
Rh 0.500 0.714 0.714
Sn 0.000 0.929 0.694
Sn 0.000 0.306 0.071
Sn 0.500 0.806 0.429
Rh 0.000 0.214 0.786
Rh 0.000 0.786 0.214
Sn 0.500 0.571 0.194
Rh 0.500 0.286 0.286


Run Q
## PrSn4Rh2 (PBE-GGA)

Data for PrSn4Rh2 after structural relaxation.

Results
Its space group is Pnma. The value obtained for the density is 8.89 g/cm³. Its calculated volume is 21.92 A^3/atom. For the total magnetic moment, the calculation gives 0.000 μB per atom.

Cell lengths 4.543, 7.227, 18.697 Å; angles 90.00, 90.00, 90.00 degrees
Fractional positions:
Rh 0.750 0.985 0.713
Sn 0.750 0.021 0.568
Sn 0.750 0.700 0.818
Rh 0.750 0.748 0.966
Pr 0.750 0.500 0.642
Rh 0.250 0.015 0.287
Rh 0.750 0.515 0.213
Sn 0.250 0.200 0.682
Sn 0.250 0.521 0.932
Sn 0.750 0.134 0.968
Sn 0.250 0.300 0.182
Rh 0.250 0.248 0.534
Pr 0.750 0.000 0.142
Pr 0.250 0.000 0.858
Sn 0.250 0.720 0.195
Sn 0.250 0.979 0.432
Sn 0.750 0.366 0.468
Sn 0.250 0.866 0.032
Rh 0.250 0.252 0.034
Rh 0.750 0.752 0.466
Sn 0.750 0.220 0.305
Sn 0.750 0.280 0.805
Rh 0.250 0.485 0.787
Pr 0.250 0.500 0.358
Sn 0.250 0.634 0.532
Sn 0.250 0.780 0.695
Sn 0.750 0.800 0.318
Sn 0.750 0.479 0.068


What should be chosen as the most stable of them? Choose run Q.


Run P
## Pr3SnRh (PBE-GGA)

Data for Pr3SnRh after structural relaxation.

Results
Its space group is C2/c. The value obtained for the density is 7.28 g/cm³. Its calculated volume is 29.40 A^3/atom. For the total magnetic moment, the calculation gives 0.000 μB per atom.

Cell lengths 7.012, 9.176, 11.199 Å; angles 114.19, 114.08, 90.00 degrees
Fractional positions:
Pr 0.038 0.275 0.067
Sn 0.246 0.079 0.571
Pr 0.880 0.205 0.331
Pr 0.962 0.725 0.933
Pr 0.620 0.874 0.669
Pr 0.120 0.795 0.669
Rh 0.250 0.005 0.000
Rh 0.750 0.995 0.000
Rh 0.750 0.498 0.000
Rh 0.250 0.502 0.000
Pr 0.462 0.208 0.933
Sn 0.254 0.508 0.429
Pr 0.380 0.126 0.331
Pr 0.538 0.792 0.067
Sn 0.754 0.921 0.429
Sn 0.746 0.492 0.571
Pr 0.901 0.268 0.727
Pr 0.599 0.541 0.273
Pr 0.099 0.732 0.273
Pr 0.401 0.459 0.727


Run Q
## Pr3SnRh (PBE-GGA)

Data for Pr3SnRh after structural relaxation.

Results
Its space group is P2_1/m. The value obtained for the density is 7.27 g/cm³. Its calculated volume is 29.45 A^3/atom. For the total magnetic moment, the calculation gives 0.000 μB per atom.

Cell lengths 4.846, 7.730, 8.570 Å; angles 113.46, 90.00, 90.00 degrees
Fractional positions:
Pr 0.250 0.678 0.074
Sn 0.750 0.690 0.813
Sn 0.250 0.310 0.187
Pr 0.750 0.049 0.243
Rh 0.750 0.078 0.594
Pr 0.750 0.653 0.407
Pr 0.750 0.322 0.926
Pr 0.250 0.347 0.593
Rh 0.250 0.922 0.406
Pr 0.250 0.951 0.757


What should be chosen as the most stable of them? Choose run Q.